Below is crystalline Tb3Pm2NdY6 at its relaxed geometry, with properties calculated at the PBE-GGA level.

Cell: 6.2248 6.2248 11.8593 Å, 95.00 95.00 119.97°
With the nearest neighbours (Å) after each atom.
Fractional coordinates of all 12 atoms:
Tb 0.1668 0.8332 0.5000  6 Y 3.56, 6 Tb 3.59-3.60
Tb 0.8332 0.1668 0.5000  6 Y 3.56, 6 Tb 3.59-3.60
Tb 0.5000 0.5000 0.5000  6 Y 3.56, 6 Tb 3.59-3.60
Pm 0.3334 0.6666 0.0000  3 Pm 3.59-3.60, 3 Nd 3.59, 6 Y 3.60-3.61
Pm 0.6666 0.3334 0.0000  3 Pm 3.59-3.60, 3 Nd 3.59, 6 Y 3.60-3.61
Nd 0.0000 0.0000 0.0000  6 Pm 3.59, 6 Y 3.60-3.61
Y 0.9158 0.5823 0.7476  3 Tb 3.56, 6 Y 3.59-3.60, 2 Pm 3.60, 1 Nd 3.61
Y 0.7508 0.7508 0.2524  3 Tb 3.56, 6 Y 3.59-3.60, 1 Nd 3.60, 2 Pm 3.61
Y 0.0842 0.4177 0.2524  3 Tb 3.56, 6 Y 3.59-3.60, 2 Pm 3.60, 1 Nd 3.61
Y 0.5823 0.9158 0.7476  3 Tb 3.56, 6 Y 3.59-3.60, 2 Pm 3.60, 1 Nd 3.61
Y 0.2492 0.2492 0.7476  3 Tb 3.56, 6 Y 3.59-3.60, 1 Nd 3.60, 2 Pm 3.61
Y 0.4177 0.0842 0.2524  3 Tb 3.56, 6 Y 3.59-3.60, 2 Pm 3.60, 1 Nd 3.61

Calculated values
Uncorrected energy, eV per atom: -5.563
Symmetry: C2/m
V, Å³/cell: 392.0

---

Below is crystalline Tb2PmNdY2 at its relaxed geometry, with properties calculated at the PBE-GGA level.

Cell: 3.4107 6.6895 17.8340 Å, 90.00 90.00 90.00°
With the nearest neighbours (Å) after each atom.
Fractional coordinates of all 12 atoms:
Tb 0.5000 0.2672 0.3203  4 Y 3.37-3.44, 2 Tb 3.41, 1 Pm 3.56
Tb 0.0000 0.7672 0.1797  4 Y 3.37-3.44, 2 Tb 3.41, 1 Pm 3.56
Tb 0.5000 0.7328 0.6797  4 Y 3.37-3.44, 2 Tb 3.41, 1 Pm 3.56
Tb 0.0000 0.2328 0.8203  4 Y 3.37-3.44, 2 Tb 3.41, 1 Pm 3.56
Pm 0.0000 0.0000 0.0000  2 Y 3.26, 2 Pm 3.41, 2 Tb 3.56
Pm 0.5000 0.5000 0.5000  2 Y 3.26, 2 Pm 3.41, 2 Tb 3.56
Nd 0.5000 0.5000 0.0000  2 Nd 3.41, 4 Y 3.56, 4 Pm 3.75
Nd 0.0000 0.0000 0.5000  2 Nd 3.41, 4 Y 3.56, 4 Pm 3.75
Y 0.5000 0.7694 0.3476  1 Pm 3.26, 4 Tb 3.37-3.44, 2 Y 3.41, 2 Nd 3.56
Y 0.5000 0.2306 0.6524  1 Pm 3.26, 4 Tb 3.37-3.44, 2 Y 3.41, 2 Nd 3.56
Y 0.0000 0.7306 0.8476  1 Pm 3.26, 4 Tb 3.37-3.44, 2 Y 3.41, 2 Nd 3.56
Y 0.0000 0.2694 0.1524  1 Pm 3.26, 4 Tb 3.37-3.44, 2 Y 3.41, 2 Nd 3.56

Calculated values
Uncorrected energy, eV per atom: -5.001
Symmetry: Pnnm
V, Å³/cell: 406.9

---

Below is crystalline TbPm3NdY at its relaxed geometry, with properties calculated at the PBE-GGA level.

Cell: 5.1208 8.1171 10.2789 Å, 90.00 90.00 108.39°
With the nearest neighbours (Å) after each atom.
Fractional coordinates of all 12 atoms:
Tb 0.0000 0.0000 0.5000  6 Pm 3.62-3.63, 4 Nd 3.63, 2 Y 3.63
Tb 0.0000 0.0000 0.0000  6 Pm 3.62-3.63, 4 Nd 3.63, 2 Y 3.63
Pm 0.6660 0.3320 0.5002  2 Tb 3.62, 2 Nd 3.62-3.63, 5 Pm 3.63-3.64, 3 Y 3.63-3.64
Pm 0.3340 0.6680 0.4998  2 Tb 3.62, 2 Nd 3.62-3.63, 5 Pm 3.63-3.64, 3 Y 3.63-3.64
Pm 0.3340 0.6680 0.0002  2 Tb 3.62, 2 Nd 3.62-3.63, 5 Pm 3.63-3.64, 3 Y 3.63-3.64
Pm 0.6660 0.3320 0.9998  2 Tb 3.62, 2 Nd 3.62-3.63, 5 Pm 3.63-3.64, 3 Y 3.63-3.64
Pm 0.1667 0.3334 0.7500  2 Y 3.62, 6 Pm 3.63-3.64, 2 Nd 3.63, 2 Tb 3.63
Pm 0.8333 0.6666 0.2500  2 Y 3.62, 6 Pm 3.63-3.64, 2 Nd 3.63, 2 Tb 3.63
Nd 0.4996 0.9992 0.7500  6 Pm 3.62-3.63, 2 Y 3.62, 4 Tb 3.63
Nd 0.5004 0.0008 0.2500  6 Pm 3.62-3.63, 2 Y 3.62, 4 Tb 3.63
Y 0.8332 0.6664 0.7500  2 Nd 3.62, 8 Pm 3.62-3.64, 2 Tb 3.63
Y 0.1668 0.3336 0.2500  2 Nd 3.62, 8 Pm 3.62-3.64, 2 Tb 3.63

Calculated values
Uncorrected energy, eV per atom: -5.004
Symmetry: Cmcm
V, Å³/cell: 405.4